1.
The following is a DFT calculation (GGA-PBEsol) of KBaAg2 after structural relaxation.

```
KBaAg2
1.0
4.612 0.000 0.000
0.000 4.821 0.000
-2.306 0.000 6.063
K Ba Ag
1 1 2
Direct
0.392 0.500 0.783
0.107 0.000 0.213
0.807 0.000 0.615
0.687 0.500 0.375
```

Its energy relative to the elements is -44 meV/atom.


2.
The following is a DFT calculation (GGA-PBEsol) of KBaAg2 after structural relaxation.

```
KBaAg2
1.0
5.630 0.000 0.000
2.815 4.875 0.000
2.815 1.625 4.597
K Ba Ag
1 1 2
Direct
0.000 0.000 0.000
0.500 0.500 0.500
0.250 0.250 0.250
0.750 0.750 0.750
```

Its energy relative to the elements is 13 meV/atom.


3.
The following is a DFT calculation (GGA-PBEsol) of KBaAg2Te4 after structural relaxation.

```
KBaAg2Te4
1.0
-0.115 -4.460 -0.573
1.534 0.500 -4.199
10.467 1.179 6.373
K Te Ba Ag
1 4 1 2
Direct
0.119 0.119 0.238
0.497 0.997 0.993
0.997 0.497 0.993
0.680 0.680 0.360
0.327 0.327 0.654
0.880 0.880 0.761
0.750 0.250 0.500
0.250 0.750 0.500
```

As for the uncorrected formation energy: -721 meV per atom.


4.
The following is a DFT calculation (GGA-PBEsol) of Ba2LaAg after structural relaxation.

```
Ba2LaAg
1.0
3.951 0.000 0.000
0.000 3.951 0.000
0.000 0.000 10.108
Ba Ag La
2 1 1
Direct
0.000 0.000 0.930
0.500 0.500 0.279
0.500 0.500 0.721
0.000 0.000 0.571
```

Its energy relative to the elements is -38 meV/atom.


5.
The following is a DFT calculation (GGA-PBEsol) of BaLa2ZnAg after structural relaxation.

```
BaLa2ZnAg
1.0
5.360 0.000 0.000
0.000 5.861 0.000
0.000 0.000 5.861
Zn Ba Ag La
1 1 1 2
Direct
0.500 0.500 0.500
0.000 0.000 0.000
0.500 0.000 0.000
0.000 0.000 0.500
0.000 0.500 0.000
```

Its energy relative to the elements is 1068 meV/atom.


6.
The following is a DFT calculation (GGA-PBEsol) of BaLiAg after structural relaxation.

```
BaLiAg
1.0
-2.836 2.420 0.726
-2.526 -2.699 -0.873
2.621 -1.562 5.510
Ba Ag Li
1 1 1
Direct
0.343 0.343 0.685
0.037 0.037 0.074
0.620 0.620 0.241
```

Its energy relative to the elements is -78 meV/atom.


7.
The following is a DFT calculation (GGA-PBEsol) of BaLiAg after structural relaxation.

```
BaLiAg
1.0
4.636 0.000 0.000
0.000 4.719 0.000
0.000 -2.360 4.087
Ba Ag Li
1 1 1
Direct
0.000 0.333 0.667
0.500 0.000 0.000
0.500 0.667 0.333
```

Its energy relative to the elements is -130 meV/atom.


8.
The following is a DFT calculation (GGA-PBEsol) of Ba2LiAg2 after structural relaxation.

```
Ba2LiAg2
1.0
-3.263 -1.989 -1.104
0.376 -2.375 3.168
-4.407 8.687 4.539
Ba Ag Li
2 2 1
Direct
0.381 0.381 0.762
0.619 0.619 0.238
0.250 0.750 0.500
0.750 0.250 0.500
0.000 0.000 0.000
```

Its energy relative to the elements is 41 meV/atom.